VASP calculation (PBE) on a relaxed structure of La5Sm4Er.

Summary:
The energy relative to the elements comes out at 0.37 eV/f.u. The electronic total energy comes out at -4.771 eV/atom. The symmetry is C2/m (12). The volume comes out at 35.170 Å³/atom. The spin magnetization comes out at 0.00 μB per formula unit. For the energy above the most stable polymorph in this dataset, the calculation gives 0.00 kcal/mol of atoms.

Lattice parameters (Å, degrees): 8.9928 8.9928 11.6724 109.11 109.11 23.29
Closest atoms and distances in Å follow each position.
Positions (direct):
1 La 0.0000 0.0000 0.0000  6 Sm 3.46-3.72, 6 La 3.63-3.65
2 La 0.2940 0.2940 0.3915  5 Sm 3.59-3.96, 6 La 3.63-3.89, 2 Er 3.87
3 La 0.3095 0.3095 0.9158  4 Sm 3.39-3.66, 6 La 3.63-3.78
4 La 0.6905 0.6905 0.0842  4 Sm 3.39-3.66, 6 La 3.63-3.78
5 La 0.7060 0.7060 0.6085  5 Sm 3.59-3.96, 6 La 3.63-3.89, 2 Er 3.87
6 Sm 0.1054 0.1054 0.7975  1 Er 3.35, 6 La 3.39-3.73, 4 Sm 3.60-3.63
7 Sm 0.4180 0.4180 0.7056  6 La 3.58-3.96, 4 Sm 3.60-3.63, 2 Er 3.67
8 Sm 0.5820 0.5820 0.2944  6 La 3.58-3.96, 4 Sm 3.60-3.63, 2 Er 3.67
9 Sm 0.8946 0.8946 0.2025  1 Er 3.35, 6 La 3.39-3.73, 4 Sm 3.60-3.63
10 Er 0.0000 0.0000 0.5000  6 Sm 3.35-3.67, 2 Er 3.63